No. 1
{
  "formula": "Sm2Fe",
  "functional": "PBE",
  "state": "relaxed",
  "total_magnetization_mub_per_cell": 0.025,
  "crystal_system": "cubic",
  "delta_e_f_ev_per_atom": 1.414,
  "cell": [[0.0000, 4.2327, 4.2327], [4.2327, 0.0000, 4.2327], [4.2327, 4.2327, 0.0000]],
  "species": ["Sm", "Sm", "Sm", "Sm", "Fe", "Fe"],
  "fractional_positions": [[0.0000, 0.0000, 0.0000], [0.0000, 0.0000, 0.5000], [0.0000, 0.5000, 0.0000], [0.5000, 0.0000, 0.0000], [0.3750, 0.3750, 0.3750], [0.6250, 0.6250, 0.6250]]
}

No. 2
{
  "formula": "GdPaCd",
  "functional": "PBE",
  "state": "relaxed",
  "total_magnetization_mub_per_cell": 2.010,
  "crystal_system": "cubic",
  "delta_e_f_ev_per_atom": 0.941,
  "cell": [[0.0000, 3.5917, 3.5917], [3.5917, 0.0000, 3.5917], [3.5917, 3.5917, 0.0000]],
  "species": ["Gd", "Pa", "Cd"],
  "fractional_positions": [[0.0000, 0.0000, 0.0000], [0.7500, 0.7500, 0.7500], [0.5000, 0.5000, 0.5000]]
}

No. 3
{
  "formula": "NdYHg6",
  "functional": "PBE",
  "state": "relaxed",
  "total_magnetization_mub_per_cell": 0.002,
  "crystal_system": "hexagonal",
  "delta_e_f_ev_per_atom": -0.371,
  "cell": [[6.6513, 0.0000, 0.0000], [-3.3256, 5.7602, 0.0000], [0.0000, 0.0000, 5.0298]],
  "species": ["Nd", "Y", "Hg", "Hg", "Hg", "Hg", "Hg", "Hg"],
  "fractional_positions": [[0.0000, 0.0000, 0.0000], [0.6667, 0.3333, 0.5000], [0.0004, 0.5002, 0.0000], [0.1702, 0.3404, 0.5000], [0.1702, 0.8298, 0.5000], [0.4998, 0.9996, 0.0000], [0.4998, 0.5002, 0.0000], [0.6596, 0.8298, 0.5000]]
}

No. 4
{
  "formula": "TbDyB4",
  "functional": "PBE",
  "state": "relaxed",
  "total_magnetization_mub_per_cell": 0.003,
  "crystal_system": "orthorhombic",
  "final_energy_ev_per_cell": -39.21,
  "cell": [[-1.6492, 2.8560, 3.8785], [1.6492, -2.8560, 3.8785], [1.6492, 2.8560, -3.8785]],
  "species": ["Tb", "Dy", "B", "B", "B", "B"],
  "fractional_positions": [[0.0000, 0.0000, 0.0000], [0.5000, 0.5000, 0.0000], [0.0835, 0.7501, 0.3334], [0.4167, 0.7501, 0.6666], [0.5833, 0.2499, 0.3334], [0.9165, 0.2499, 0.6666]]
}

No. 5
{
  "formula": "Er3Zn2InCuNi2",
  "functional": "PBE",
  "state": "relaxed",
  "total_magnetization_mub_per_cell": 0.003,
  "crystal_system": "orthorhombic",
  "final_energy_ev_per_cell": -37.87,
  "cell": [[3.7032, 0.0000, 0.0000], [0.0000, 6.2161, 3.6209], [0.0000, -6.2161, 3.6209]],
  "species": ["Er", "Er", "Er", "Zn", "Zn", "In", "Cu", "Ni", "Ni"],
  "fractional_positions": [[0.0000, 0.0000, 0.0000], [0.0000, 0.3940, 0.8199], [0.0000, 0.8199, 0.3940], [0.5000, 0.1479, 0.4052], [0.5000, 0.4052, 0.1479], [0.5000, 0.6533, 0.6533], [0.0000, 0.3872, 0.3872], [0.5000, 0.0718, 0.7367], [0.5000, 0.7367, 0.0718]]
}

No. 6
{
  "formula": "Ba2CdNiH6",
  "functional": "PBE",
  "state": "relaxed",
  "total_magnetization_mub_per_cell": 0.000,
  "crystal_system": "cubic",
  "final_energy_ev_per_cell": -33.58,
  "cell": [[0.0000, 4.0204, 4.0204], [4.0204, 0.0000, 4.0204], [4.0204, 4.0204, 0.0000]],
  "species": ["Ba", "Ba", "Cd", "Ni", "H", "H", "H", "H", "H", "H"],
  "fractional_positions": [[0.2500, 0.2500, 0.2500], [0.7500, 0.7500, 0.7500], [0.0000, 0.0000, 0.0000], [0.5000, 0.5000, 0.5000], [0.2911, 0.2911, 0.7089], [0.2911, 0.7089, 0.2911], [0.2911, 0.7089, 0.7089], [0.7089, 0.2911, 0.2911], [0.7089, 0.2911, 0.7089], [0.7089, 0.7089, 0.2911]]
}